Record 1
Here is a relaxed CrTcMo2 crystal from the Alexandria database. Energies are from PBE-GGA.

Cell lengths 5.091, 5.091, 5.091 Å; angles 144.78, 129.27, 63.26 degrees
Element x y z (fractional)
Cr 0.250 0.750 0.500
Mo 0.007 0.007 0.000
Mo 0.493 0.493 0.000
Tc 0.750 0.250 0.500

Values from the calculation:
- ΔH_f (0 K): 0.06 eV per atom
- Symmetry: Immm, No. 71
- Energy above the most stable polymorph in this dataset: 2.10 kJ/mol of atoms
- Total magnetization: 0.00 μB per cell
- E: -10.348 eV/atom


Record 2
Here is a relaxed CrTc2Mo crystal from the Alexandria database. Energies are from PBE-GGA.

Cell lengths 4.326, 4.326, 4.326 Å; angles 60.00, 60.00, 60.00 degrees
Element x y z (fractional)
Cr 0.500 0.500 0.500
Mo 0.750 0.750 0.750
Tc 0.000 0.000 0.000
Tc 0.250 0.250 0.250

Values from the calculation:
- ΔH_f (0 K): 0.14 eV per atom
- Symmetry: F-43m, No. 216
- Total magnetization: 0.00 μB per cell
- E: -10.153 eV/atom


Record 3
Here is a relaxed CrTc2Mo crystal from the Alexandria database. Energies are from PBE-GGA.

Cell lengths 6.919, 6.919, 5.517 Å; angles 51.16, 51.16, 90.00 degrees
Element x y z (fractional)
Cr 0.500 0.500 0.000
Cr 0.250 0.750 0.500
Mo 0.000 0.000 0.000
Mo 0.750 0.250 0.500
Tc 0.602 0.125 0.250
Tc 0.148 0.625 0.250
Tc 0.375 0.398 0.750
Tc 0.875 0.852 0.750

Values from the calculation:
- ΔH_f (0 K): 0.73 eV per atom
- Symmetry: I-42d, No. 122
- Total magnetization: 0.00 μB per cell
- E: -9.563 eV/atom